HfAl3Pt | PBE-GGA | relaxed

Calculated values
Relative energy among the computed polymorphs: 1254 meV/atom

Lattice parameters (Å, degrees): 5.059 5.059 5.059 90.00 90.00 90.00
Element x y z (fractional)
Pt1 0.500 0.500 0.500
Al1 0.500 0.000 0.000
Hf1 0.000 0.000 0.000
Al2 0.000 0.500 0.000
Al3 0.000 0.000 0.500

***

HfAlPt3 | PBE-GGA | relaxed

Calculated values
Relative energy among the computed polymorphs: 1666 meV/atom

Lattice parameters (Å, degrees): 4.943 4.943 4.943 90.00 90.00 90.00
Element x y z (fractional)
Pt1 0.500 0.000 0.000
Al1 0.500 0.500 0.500
Pt2 0.000 0.500 0.000
Hf1 0.000 0.000 0.000
Pt3 0.000 0.000 0.500

***

HfAl2Pt | PBE-GGA | relaxed

Lattice parameters (Å, degrees): 4.547 4.547 4.547 60.00 60.00 60.00
Element x y z (fractional)
Al1 0.750 0.750 0.750
Pt1 0.500 0.500 0.500
Hf1 0.000 0.000 0.000
Al2 0.250 0.250 0.250

***

V: 129.5, 120.8, 66.5 (Å³ per cell)
Magnetization: 0.000, 0.000, 0.000 (μB per formula unit)
Energy of formation from the pure elements: 1317.3, 635.9, -459.2 (meV/atom)